VASP calculation (PBE-GGA) on crystalline InP at its relaxed geometry.

Cell: 7.3233 7.3233 7.3233 Å, 90.00 90.00 90.00°
Space group Pm-3n (No. 223)
Unique sites:
In: 0.0000 0.2500 0.5000 [6 per cell]
P: 0.0000 0.5000 0.2500 [6 per cell]

Calculated values
Density ... 3.70 g cm⁻³
Energy relative to the elements ... -0.084 eV per atom

***

VASP calculation (PBE-GGA) on crystalline ZnRe3 at its relaxed geometry.

Cell: 2.7792 2.7792 8.9001 Å, 90.00 90.00 120.00°
Space group P-6m2 (No. 187)
Unique sites:
Zn: 0.0000 0.0000 0.0000 [1 per cell]
Re: 0.0000 0.0000 0.5000 [1 per cell]
Re: 0.3333 0.6667 0.2527 [2 per cell]

Calculated values
Density ... 17.41 g cm⁻³
Energy relative to the elements ... 0.088 eV per atom

***

VASP calculation (PBE-GGA) on crystalline BaTbGe2 at its relaxed geometry.

Cell: 4.7576 4.7576 19.1636 Å, 90.00 90.00 120.00°
Space group R-3m (No. 166, hexagonal axes)
Unique sites:
Ba: 0.0000 0.0000 0.0000 [3 per cell]
Tb: 0.0000 0.0000 0.5000 [3 per cell]
Ge: 0.0000 0.0000 0.2224 [6 per cell]

Calculated values
Density ... 5.86 g cm⁻³
Energy relative to the elements ... -0.430 eV per atom

***

VASP calculation (PBE-GGA) on crystalline VH2Ru2 at its relaxed geometry.

Cell: 2.9237 2.9237 11.0921 Å, 90.00 90.00 90.00°
Space group I4/mmm (No. 139)
Unique sites:
V: 0.0000 0.0000 0.0000 [2 per cell]
H: 0.0000 0.5000 0.2500 [4 per cell]
Ru: 0.0000 0.0000 0.3615 [4 per cell]

Calculated values
Energy above the most stable polymorph in this dataset ... 37 meV per atom
Density ... 8.94 g cm⁻³

***

VASP calculation (PBE-GGA) on crystalline Ti2NiPt at its relaxed geometry.

Cell: 3.0402 3.0402 6.4102 Å, 90.00 90.00 90.00°
Space group P4/mmm (No. 123)
Unique sites:
Ti: 0.0000 0.0000 0.2323 [2 per cell]
Ni: 0.5000 0.5000 0.0000 [1 per cell]
Pt: 0.5000 0.5000 0.5000 [1 per cell]

Calculated values
Density ... 9.80 g cm⁻³
Energy relative to the elements ... -0.594 eV per atom

***

VASP calculation (PBE-GGA) on crystalline SrCaTe2 at its relaxed geometry.

Cell: 4.6463 4.6463 6.5713 Å, 90.00 90.00 90.00°
Space group P4/mmm (No. 123)
Unique sites:
Sr: 0.0000 0.0000 0.0000 [1 per cell]
Ca: 0.5000 0.5000 0.5000 [1 per cell]
Te: 0.0000 0.0000 0.5000 [1 per cell]
Te: 0.5000 0.5000 0.0000 [1 per cell]

Calculated values
Energy above the most stable polymorph in this dataset ... 14 meV per atom
Density ... 4.48 g cm⁻³

***

VASP calculation (PBE-GGA) on crystalline CaScB at its relaxed geometry.

Cell: 3.5560 4.8035 8.6013 Å, 86.19 78.09 68.29°
Space group P-1 (No. 2)
Unique sites:
Ca: 0.2077 0.2400 0.3419 [2 per cell]
Sc: 0.4036 0.2934 0.8988 [2 per cell]
B: 0.1022 0.8657 0.9301 [2 per cell]

Calculated values
Energy above the most stable polymorph in this dataset ... 153 meV per atom
Density ... 2.38 g cm⁻³
Energy relative to the elements ... -0.082 eV per atom

***

VASP calculation (PBE-GGA) on crystalline MnTlIN2 at its relaxed geometry.

Cell: 3.9951 3.9951 5.4643 Å, 90.00 90.00 90.00°
Space group P4/mmm (No. 123)
Unique sites:
Mn: 0.0000 0.0000 0.0000 [1 per cell]
Tl: 0.5000 0.5000 0.5000 [1 per cell]
I: 0.0000 0.0000 0.5000 [1 per cell]
N: 0.0000 0.5000 0.0000 [2 per cell]

Calculated values
Energy above the most stable polymorph in this dataset ... 0 meV per atom
Density ... 7.89 g cm⁻³

***

VASP calculation (PBE-GGA) on crystalline NaAc2La3Se6 at its relaxed geometry.

Cell: 7.5436 13.0880 7.5996 Å, 90.00 109.42 90.00°
Space group C2/m (No. 12)
Unique sites:
Na: 0.0000 0.0000 0.0000 [2 per cell]
Ac: 0.0000 0.3339 0.0000 [4 per cell]
La: 0.0000 0.1660 0.5000 [4 per cell]
La: 0.0000 0.5000 0.5000 [2 per cell]
Se: 0.2413 0.0000 0.7466 [4 per cell]
Se: 0.2484 0.1635 0.2553 [8 per cell]

Calculated values
Energy ... -135.4 eV/cell
Density ... 6.42 g cm⁻³

***

VASP calculation (PBE-GGA) on crystalline Cd3W at its relaxed geometry.

Cell: 2.8616 4.8721 5.6227 Å, 90.00 96.93 90.00°
Space group P2/m (No. 10)
Unique sites:
Cd: 0.0000 0.0000 0.0000 [1 per cell]
Cd: 0.1873 0.5000 0.7369 [2 per cell]
W: 0.5000 0.0000 0.5000 [1 per cell]

Calculated values
Energy above the most stable polymorph in this dataset ... 190 meV per atom
Density ... 11.12 g cm⁻³
Energy relative to the elements ... 0.575 eV per atom

***

VASP calculation (PBE-GGA) on crystalline AsIrBr2O at its relaxed geometry.

Cell: 4.6370 4.6370 4.2429 Å, 90.00 90.00 90.00°
Space group P4/mmm (No. 123)
Unique sites:
As: 0.0000 0.0000 0.0000 [1 per cell]
Ir: 0.5000 0.5000 0.0000 [1 per cell]
Br: 0.0000 0.5000 0.5000 [2 per cell]
O: 0.0000 0.0000 0.5000 [1 per cell]

Calculated values
Energy above the most stable polymorph in this dataset ... 199 meV per atom
Density ... 8.06 g cm⁻³

***

VASP calculation (PBE-GGA) on crystalline K4U3PaTe8 at its relaxed geometry.

Cell: 8.8980 8.8980 25.2200 Å, 90.00 90.00 120.00°
Space group R-3m (No. 166, hexagonal axes)
Unique sites:
K: 0.0000 0.0000 0.0000 [3 per cell]
K: 0.0000 0.5000 0.0000 [9 per cell]
U: 0.0000 0.5000 0.5000 [9 per cell]
Pa: 0.0000 0.0000 0.5000 [3 per cell]
Te: 0.0000 0.0000 0.2378 [6 per cell]
Te: 0.0019 0.5010 0.2381 [18 per cell]

Calculated values
Energy ... -260.5 eV/cell
Density ... 6.11 g cm⁻³

***

Size of the total moment per entry: 0.000; 0.000; 0.000; 0.000; 0.000; 0.000; 0.000; 0.000; 0.000; 0.000; 0.005; 0.688 μB/atom
Volume per entry: 392.8; 59.5; 375.6; 94.8; 59.2; 141.9; 133.6; 87.2; 707.6; 77.8; 91.2; 1729.2 Å³ per cell